Computed, not measured: a relaxed HgPdBr6 crystal at the PBE-GGA level of DFT.

The distance to the lowest polymorph of the same formula comes out at 17 meV per atom. The uncorrected formation energy is -0.194 eV/atom. As for the uncorrected energy: -2.14 eV per atom.

It has space group P-1 (No. 2), with a = 6.6935 Å, b = 6.6953 Å, c = 7.1546 Å, α = 117.76°, β = 90.15° and γ = 119.94°. The inequivalent atoms are Hg at (0.0000, 0.0000, 0.0000), Pd at (0.5000, 0.0000, 0.5000), Br at (0.1026, 0.5409, 0.2627), Br at (0.2785, 0.1755, 0.7377) and Br at (0.4374, 0.1600, 0.2620).



Computed, not measured: a relaxed Nd2H2PdO6 crystal at the PBE-GGA level of DFT.

As for the uncorrected energy: -6.30 eV per atom.

It has space group R-3m (No. 166, hexagonal axes), with a = 5.1101 Å, b = 5.1101 Å, c = 15.2234 Å, α = 90.00°, β = 90.00° and γ = 120.00°. The inequivalent atoms are Nd at (0.0000, 0.0000, 0.2245), H at (0.0000, 0.0000, 0.4166), Pd at (0.0000, 0.0000, 0.0000) and O at (0.0070, 0.5035, 0.2446).



Computed, not measured: a relaxed Na4PbO3 crystal at the PBE-GGA level of DFT.

The uncorrected formation energy is -1.232 eV/atom. As for the uncorrected energy: -4.21 eV per atom.

It has space group Cc (No. 9), with a = 11.3721 Å, b = 6.0506 Å, c = 8.8156 Å, α = 90.00°, β = 113.36° and γ = 90.00°. The inequivalent atoms are Na at (0.0000, 0.1444, 0.0000), Na at (0.2424, 0.1610, 0.4100), Na at (0.3078, 0.2589, 0.1091), Na at (0.3998, 0.1727, 0.7959), Pb at (0.1202, 0.3266, 0.7448), O at (0.1819, 0.0554, 0.6251), O at (0.3026, 0.4853, 0.3147) and O at (0.4545, 0.0040, 0.5574).



Computed, not measured: a relaxed Al6ZnCu5 crystal at the PBE-GGA level of DFT.

As for the uncorrected energy: -3.79 eV per atom. The formation energy is -0.102 eV per atom.

It has space group Cmmm (No. 65), with a = 3.9739 Å, b = 11.9172 Å, c = 7.0540 Å, α = 90.00°, β = 90.00° and γ = 90.00°. The inequivalent atoms are Al at (0.0000, 0.0000, 0.2386), Al at (0.0000, 0.3314, 0.2451), Zn at (0.0000, 0.5000, 0.5000), Cu at (0.0000, 0.1674, 0.0000), Cu at (0.0000, 0.1674, 0.5000) and Cu at (0.0000, 0.5000, 0.0000).



Computed, not measured: a relaxed HoTm2AgN crystal at the PBE-GGA level of DFT.

The uncorrected formation energy is -0.780 eV/atom. As for the uncorrected energy: -5.72 eV per atom.

It has space group P4/mmm (No. 123), with a = 4.6893 Å, b = 4.6893 Å, c = 4.8084 Å, α = 90.00°, β = 90.00° and γ = 90.00°. The inequivalent atoms are Ho at (0.0000, 0.0000, 0.0000), Tm at (0.0000, 0.5000, 0.5000), Ag at (0.5000, 0.5000, 0.0000) and N at (0.0000, 0.0000, 0.5000).



Computed, not measured: a relaxed CsBr2O crystal at the PBE-GGA level of DFT.

The distance to the lowest polymorph of the same formula comes out at 516 meV per atom. The uncorrected formation energy is -0.005 eV/atom. As for the uncorrected energy: -2.29 eV per atom.

It has space group Fm-3m (No. 225), with a = 8.1655 Å, b = 8.1655 Å, c = 8.1655 Å, α = 90.00°, β = 90.00° and γ = 90.00°. The inequivalent atoms are Cs at (0.0000, 0.0000, 0.0000), Br at (0.2500, 0.2500, 0.2500) and O at (0.0000, 0.0000, 0.5000).



Computed, not measured: a relaxed Cu2AgIrCl8 crystal at the PBE-GGA level of DFT.

The uncorrected formation energy is -0.476 eV/atom. As for the uncorrected energy: -3.37 eV per atom.

It has space group P-1 (No. 2), with a = 6.1730 Å, b = 6.8244 Å, c = 7.9722 Å, α = 66.65°, β = 84.49° and γ = 74.50°. The inequivalent atoms are Cu at (0.0352, 0.1750, 0.3010), Ag at (0.5000, 0.5000, 0.5000), Ir at (0.5000, 0.5000, 0.0000), Cl at (0.1177, 0.7815, 0.4403), Cl at (0.1405, 0.7430, 0.9592), Cl at (0.3817, 0.2563, 0.2752) and Cl at (0.3978, 0.3198, 0.8356).



Computed, not measured: a relaxed TlAgGePb crystal at the PBE-GGA level of DFT.

As for the uncorrected energy: -3.20 eV per atom. The formation energy is 0.191 eV per atom.

It has space group F-43m (No. 216), with a = 7.3458 Å, b = 7.3458 Å, c = 7.3458 Å, α = 90.00°, β = 90.00° and γ = 90.00°. The inequivalent atoms are Tl at (0.0000, 0.0000, 0.0000), Ag at (0.2500, 0.2500, 0.2500), Ge at (0.2500, 0.2500, 0.7500) and Pb at (0.0000, 0.0000, 0.5000).